1.
KGaSiI2 | GGA-PBE | optimized geometry

Values from the calculation:
Electronic total energy, eV per atom: -2.153
ΔE_f (raw), eV per atom: 0.38

The structure in CIF format:
```
data_KGaSiI2
_chemical_formula_sum 'K1 Ga1 Si1 I2'
_cell_length_a 6.018
_cell_length_b 6.018
_cell_length_c 6.477
_cell_angle_alpha 90.00
_cell_angle_beta 90.00
_cell_angle_gamma 90.00
_symmetry_space_group_name_H-M 'P 4/m m m'
_symmetry_Int_Tables_number 123
_symmetry_space_group_name_Hall '-P 4 2'
loop_
_atom_site_label
_atom_site_type_symbol
_atom_site_fract_x
_atom_site_fract_y
_atom_site_fract_z
_atom_site_occupancy
K1 K 0.000 0.000 0.000 1
Ga1 Ga 0.000 0.000 0.500 1
Si1 Si 0.500 0.500 0.000 1
I1 I 0.000 0.500 0.500 1
```

---

2.
K2SmGaI6 | GGA-PBE | optimized geometry

Values from the calculation:
Electronic total energy, eV per atom: -3.145
ΔE_f (raw), eV per atom: -1.22

The structure in CIF format:
```
data_K2SmGaI6
_chemical_formula_sum 'K6 Sm3 Ga3 I18'
_cell_length_a 8.5862
_cell_length_b 8.5862
_cell_length_c 21.9950
_cell_angle_alpha 90.00
_cell_angle_beta 90.00
_cell_angle_gamma 120.00
_symmetry_space_group_name_H-M 'R 3'
_symmetry_Int_Tables_number 146
_symmetry_space_group_name_Hall 'R 3'
loop_
_atom_site_label
_atom_site_type_symbol
_atom_site_fract_x
_atom_site_fract_y
_atom_site_fract_z
_atom_site_occupancy
K1 K 0.0000 0.0000 0.0000 1
K2 K 0.0000 0.0000 0.4917 1
Sm1 Sm 0.0000 0.0000 0.7000 1
Ga1 Ga 0.0000 0.0000 0.2057 1
I1 I 0.0083 0.4009 0.4447 1
I2 I 0.0684 0.7120 0.2810 1
```

---

3.
K2GaSnI5 | GGA-PBE | optimized geometry

Values from the calculation:
Electronic total energy, eV per atom: -2.764
ΔE_f (raw), eV per atom: -0.88

The structure in CIF format:
```
data_K2GaSnI5
_chemical_formula_sum 'K8 Ga4 Sn4 I20'
_cell_length_a 4.780
_cell_length_b 20.444
_cell_length_c 16.453
_cell_angle_alpha 90.00
_cell_angle_beta 90.00
_cell_angle_gamma 90.00
_symmetry_space_group_name_H-M 'C m c 21'
_symmetry_Int_Tables_number 36
loop_
_symmetry_equiv_pos_as_xyz
'x,y,z'
'-x,-y,z+1/2'
'-x,y,z'
'x,-y,z+1/2'
'x+1/2,y+1/2,z'
'-x+1/2,-y+1/2,z+1/2'
'-x+1/2,y+1/2,z'
'x+1/2,-y+1/2,z+1/2'
loop_
_atom_site_label
_atom_site_type_symbol
_atom_site_fract_x
_atom_site_fract_y
_atom_site_fract_z
_atom_site_occupancy
K1 K 0.000 0.083 0.000 1
K2 K 0.000 0.128 0.651 1
Ga1 Ga 0.000 0.451 0.801 1
Sn1 Sn 0.000 0.232 0.385 1
I1 I 0.000 0.082 0.424 1
I2 I 0.000 0.255 0.022 1
I3 I 0.000 0.291 0.756 1
I4 I 0.000 0.387 0.339 1
I5 I 0.000 0.499 0.617 1
```